This record from Alexandria via LeMat-Bulk describes crystalline UMnTcRu at its relaxed geometry. The functional is PBE-GGA.

abc: 4.545 4.545 4.545
angles: 60.00 60.00 60.00
Last column: magnetic moment on the atom in μB.
Element x y z (fractional)
Tc 0.250 0.250 0.250  0.00
Ru 0.750 0.750 0.750  0.15
U 0.500 0.500 0.500  1.29
Mn 0.000 0.000 0.000  3.44

Output
- Total magnetic moment: 5.07 μB per cell
- Crystal system: cubic
- Energy relative to the elements: 0.034 eV/atom